DFT (PBE+U) results for a relaxed FeN2O2 crystal.

Calculated values
E above lowest polymorph ... 0.458 eV per atom

a = 3.6613 Å, b = 3.6613 Å, c = 3.5904 Å
α = 90.00°, β = 90.00°, γ = 90.00°
Element x y z (fractional)
Fe 0.0000 0.0000 0.0000
N 0.0000 0.5000 0.0000
N 0.5000 0.0000 0.0000
O 0.0000 0.0000 0.5000
O 0.5000 0.5000 0.5000

=====

DFT (PBE+U) results for a relaxed FeN2O2 crystal.

Calculated values
E above lowest polymorph ... 0.380 eV per atom

a = 3.5307 Å, b = 3.5307 Å, c = 3.5737 Å
α = 90.00°, β = 90.00°, γ = 90.00°
Element x y z (fractional)
Fe 0.0000 0.0000 0.0000
N 0.0000 0.5000 0.5000
N 0.5000 0.0000 0.5000
O 0.5000 0.5000 0.0000
O 0.5000 0.5000 0.5000

=====

DFT (PBE+U) results for a relaxed Fe2NO crystal.

Calculated values
E above lowest polymorph ... 0.345 eV per atom

a = 4.4951 Å, b = 4.4951 Å, c = 9.3106 Å
α = 90.00°, β = 90.00°, γ = 90.00°
Element x y z (fractional)
Fe 0.2359 0.2500 0.1250
Fe 0.2500 0.7359 0.3750
Fe 0.2500 0.7641 0.8750
Fe 0.2641 0.2500 0.6250
Fe 0.7359 0.7500 0.6250
Fe 0.7500 0.2359 0.8750
Fe 0.7500 0.2641 0.3750
Fe 0.7641 0.7500 0.1250
N 0.0000 0.0000 0.0000
N 0.0000 0.5000 0.2500
N 0.5000 0.0000 0.7500
N 0.5000 0.5000 0.5000
O 0.0000 0.0000 0.5000
O 0.0000 0.5000 0.7500
O 0.5000 0.0000 0.2500
O 0.5000 0.5000 0.0000

=====

DFT (PBE+U) results for a relaxed FeN2O2 crystal.

Calculated values
E above lowest polymorph ... 2.297 eV per atom

a = 6.9882 Å, b = 6.9882 Å, c = 6.5052 Å
α = 90.00°, β = 90.00°, γ = 90.00°
Element x y z (fractional)
Fe 0.0000 0.0000 0.0000
N 0.5000 0.5000 0.0000
N 0.5000 0.5000 0.5000
O 0.0000 0.5000 0.5000
O 0.5000 0.0000 0.5000

=====

DFT (PBE+U) results for a relaxed Fe2NO crystal.

Calculated values
E above lowest polymorph ... 0.000 eV per atom

a = 5.3209 Å, b = 5.3209 Å, c = 5.3209 Å
α = 90.00°, β = 90.00°, γ = 90.00°
Element x y z (fractional)
Fe 0.2500 0.2500 0.2500
Fe 0.2500 0.2500 0.7500
Fe 0.2500 0.7500 0.2500
Fe 0.2500 0.7500 0.7500
Fe 0.7500 0.2500 0.2500
Fe 0.7500 0.2500 0.7500
Fe 0.7500 0.7500 0.2500
Fe 0.7500 0.7500 0.7500
N 0.0000 0.0000 0.0000
N 0.0000 0.5000 0.5000
N 0.5000 0.0000 0.5000
N 0.5000 0.5000 0.0000
O 0.0000 0.0000 0.5000
O 0.0000 0.5000 0.0000
O 0.5000 0.0000 0.0000
O 0.5000 0.5000 0.5000

=====

DFT (PBE+U) results for a relaxed Fe3NO crystal.

Calculated values
E above lowest polymorph ... 0.000 eV per atom

a = 3.9355 Å, b = 3.9355 Å, c = 3.9355 Å
α = 90.00°, β = 90.00°, γ = 90.00°
Element x y z (fractional)
Fe 0.0000 0.0000 0.5000
Fe 0.0000 0.5000 0.0000
Fe 0.5000 0.0000 0.0000
N 0.0000 0.0000 0.0000
O 0.5000 0.5000 0.5000

=====

| no. | energy (eV per atom) |
| --- | --- |
| 1 | -4.4215 |
| 2 | -4.4999 |
| 3 | -5.5376 |
| 4 | -2.5830 |
| 5 | -5.8831 |
| 6 | -5.4800 |